ReWF3, relaxed, DFT GGA+U; magnetic moment = 0.000 μB/atom; energy = -4.40 eV per atom
1.0
4.178 0.000 0.000
0.000 4.178 0.000
0.000 0.000 4.178
F Re W
3 1 1
Direct
0.000 0.000 0.500
0.000 0.500 0.000
0.500 0.000 0.000
0.500 0.500 0.500
0.000 0.000 0.000